! PBE IrBr2, relaxed; values from VASP
&SYSTEM
  ibrav = 0, nat = 6, ntyp = 2
/
ATOMIC_SPECIES
Br 79.90 Br.upf
Ir 192.22 Ir.upf
ATOMIC_POSITIONS crystal
Br 0.0000 0.7019 0.3120
Br 0.5000 0.2019 0.1880
Br 0.0000 0.2981 0.6880
Br 0.5000 0.7981 0.8120
Ir 0.0000 0.0000 0.0000
Ir 0.5000 0.5000 0.5000
CELL_PARAMETERS angstrom
3.9595 0.0000 0.0000
0.0000 5.9466 0.0000
0.0000 0.0000 6.0153
! Formation energy (no corrections): 0.58 eV/f.u.
! Fermi-level density of states: 1.1 states/eV/f.u.
! V: 70.8 Å³/f.u.